# 1
A plane-wave DFT calculation with PBE was carried out for ReWBr2 after structural relaxation.

excess energy over the best structure of this formula in the dataset = 1.297 eV per atom
calculated volume = 73 Å³/f.u.
size of the total moment = 0.07 μB per atom
formation energy (no corrections) = 1.4648 eV/atom
space-group type = Cmmm (65)
crystal system = orthorhombic

abc: 3.0943 3.0943 9.2838
angles: 90.00 90.00 124.23
Last column: nearest neighbours and their distance in Å.
Sites, in units of the cell vectors:
1 Re 0.0000 0.0000 0.0000  4 Br 2.66, 2 Re 2.89
2 W 0.0000 0.0000 0.5000  4 Br 2.81, 6 W 2.89-3.09
3 Br 0.5000 0.5000 0.2401  2 Re 2.66, 2 W 2.81, 2 Br 2.89
4 Br 0.5000 0.5000 0.7599  2 Re 2.66, 2 W 2.81, 2 Br 2.89

=====

# 2
A plane-wave DFT calculation with PBE was carried out for ReWBr2 after structural relaxation.

excess energy over the best structure of this formula in the dataset = 0.016 eV per atom
calculated volume = 95 Å³/f.u.
size of the total moment = 0.00 μB per atom
formation energy (no corrections) = 0.1839 eV/atom
space-group type = R3m (160)
crystal system = trigonal

abc: 9.6360 9.6360 9.6360
angles: 20.33 20.33 20.33
Last column: nearest neighbours and their distance in Å.
Sites, in units of the cell vectors:
1 Re 0.0000 0.0000 0.0000  3 W 2.48
2 W 0.2797 0.2797 0.2797  3 Re 2.48
3 Br 0.5404 0.5404 0.5404  3 W 2.84
4 Br 0.7404 0.7404 0.7404  3 Re 2.87

=====

# 3
A plane-wave DFT calculation with PBE was carried out for Re3WBr after structural relaxation.

excess energy over the best structure of this formula in the dataset = 0.129 eV per atom
calculated volume = 113 Å³/f.u.
size of the total moment = 0.73 μB per atom
formation energy (no corrections) = 2.6007 eV/atom
space-group type = Pm-3m (221)
crystal system = cubic

abc: 4.8338 4.8338 4.8338
angles: 90.00 90.00 90.00
Last column: nearest neighbours and their distance in Å.
Sites, in units of the cell vectors:
1 Re 0.0000 0.0000 0.5000  2 W 2.42
2 Re 0.0000 0.5000 0.0000  2 W 2.42
3 Re 0.5000 0.0000 0.0000  2 W 2.42
4 W 0.0000 0.0000 0.0000  6 Re 2.42
5 Br 0.5000 0.5000 0.5000  12 Re 3.42

=====

# 4
A plane-wave DFT calculation with PBE was carried out for ReW3Br after structural relaxation.

excess energy over the best structure of this formula in the dataset = 0.125 eV per atom
calculated volume = 93 Å³/f.u.
size of the total moment = 0.00 μB per atom
formation energy (no corrections) = 2.4213 eV/atom
space-group type = Pm-3m (221)
crystal system = cubic

abc: 4.5246 4.5246 4.5246
angles: 90.00 90.00 90.00
Last column: nearest neighbours and their distance in Å.
Sites, in units of the cell vectors:
1 Re 0.0000 0.0000 0.0000  12 W 3.20
2 W 0.0000 0.5000 0.5000  2 Br 2.26
3 W 0.5000 0.0000 0.5000  2 Br 2.26
4 W 0.5000 0.5000 0.0000  2 Br 2.26
5 Br 0.5000 0.5000 0.5000  6 W 2.26

=====

# 5
A plane-wave DFT calculation with PBE was carried out for ReW2Br after structural relaxation.

excess energy over the best structure of this formula in the dataset = 0.896 eV per atom
calculated volume = 67 Å³/f.u.
size of the total moment = 0.00 μB per atom
formation energy (no corrections) = 1.5163 eV/atom
space-group type = P4/mmm (123)
crystal system = tetragonal

abc: 3.8469 3.8469 4.4960
angles: 90.00 90.00 90.00
Last column: nearest neighbours and their distance in Å.
Sites, in units of the cell vectors:
1 Re 0.0000 0.0000 0.0000  4 Br 2.72, 8 W 2.96
2 W 0.0000 0.5000 0.5000  4 W 2.72, 4 Br 2.96, 4 Re 2.96
3 W 0.5000 0.0000 0.5000  4 W 2.72, 4 Br 2.96, 4 Re 2.96
4 Br 0.5000 0.5000 0.0000  4 Re 2.72, 8 W 2.96

=====

# 6
A plane-wave DFT calculation with PBE was carried out for ReW2Br after structural relaxation.

excess energy over the best structure of this formula in the dataset = 0.099 eV per atom
calculated volume = 67 Å³/f.u.
size of the total moment = 0.00 μB per atom
formation energy (no corrections) = 0.7195 eV/atom
space-group type = P4mm (99)
crystal system = tetragonal

abc: 3.0751 3.0751 7.0757
angles: 90.00 90.00 90.00
Last column: nearest neighbours and their distance in Å.
Sites, in units of the cell vectors:
1 Re 0.0000 0.0000 0.0000  4 W 2.65
2 W 0.0000 0.0000 0.4601  8 W 2.79-3.08, 4 Br 2.81
3 W 0.5000 0.5000 0.2131  4 Re 2.65, 4 W 2.79
4 Br 0.5000 0.5000 0.7116  4 W 2.81, 4 Re 2.98, 4 Br 3.08

=====

# 7
A plane-wave DFT calculation with PBE was carried out for ReWBr2 after structural relaxation.

excess energy over the best structure of this formula in the dataset = 0.474 eV per atom
calculated volume = 98 Å³/f.u.
size of the total moment = 0.00 μB per atom
formation energy (no corrections) = 0.6422 eV/atom
space-group type = C2/m (12)
crystal system = monoclinic

abc: 7.6208 7.6208 4.2234
angles: 94.00 94.00 23.70
Last column: nearest neighbours and their distance in Å.
Sites, in units of the cell vectors:
1 Re 0.0000 0.0000 0.0000  2 Br 2.56, 4 W 2.63
2 W 0.5000 0.5000 0.5000  4 Re 2.63, 4 Br 2.81
3 Br 0.1475 0.1475 0.7262  1 Re 2.56, 2 W 2.81
4 Br 0.8525 0.8525 0.2738  1 Re 2.56, 2 W 2.81

=====

# 8
A plane-wave DFT calculation with PBE was carried out for ReW4Br after structural relaxation.

calculated volume = 105 Å³/f.u.
size of the total moment = 0.00 μB per atom
formation energy (no corrections) = 1.1922 eV/atom
space-group type = F-43m (216)
crystal system = cubic

abc: 5.2997 5.2997 5.2997
angles: 60.00 60.00 60.00
Last column: nearest neighbours and their distance in Å.
Sites, in units of the cell vectors:
1 Re 0.0000 0.0000 0.0000  12 W 3.11, 4 Br 3.25
2 W 0.1265 0.6245 0.6245  6 W 2.64-2.66
3 W 0.6245 0.1265 0.6245  6 W 2.64-2.66
4 W 0.6245 0.6245 0.1265  6 W 2.64-2.66
5 W 0.6245 0.6245 0.6245  6 W 2.64-2.66
6 Br 0.2500 0.2500 0.2500  12 W 3.11, 4 Re 3.25

=====

# 9
A plane-wave DFT calculation with PBE was carried out for ReWBr2 after structural relaxation.

excess energy over the best structure of this formula in the dataset = 1.384 eV per atom
calculated volume = 74 Å³/f.u.
size of the total moment = 0.15 μB per atom
formation energy (no corrections) = 1.5518 eV/atom
space-group type = F-43m (216)
crystal system = cubic

abc: 4.7143 4.7143 4.7143
angles: 60.00 60.00 60.00
Last column: nearest neighbours and their distance in Å.
Sites, in units of the cell vectors:
1 Re 0.0000 0.0000 0.0000  4 W 2.89, 4 Br 2.89
2 W 0.2500 0.2500 0.2500  4 Br 2.89, 4 Re 2.89
3 Br 0.5000 0.5000 0.5000  4 W 2.89, 4 Br 2.89
4 Br 0.7500 0.7500 0.7500  4 Re 2.89, 4 Br 2.89

=====

# 10
A plane-wave DFT calculation with PBE was carried out for ReW2Br after structural relaxation.

excess energy over the best structure of this formula in the dataset = 0.796 eV per atom
calculated volume = 66 Å³/f.u.
size of the total moment = 0.00 μB per atom
formation energy (no corrections) = 1.4160 eV/atom
space-group type = I-4m2 (119)
crystal system = tetragonal

abc: 5.1706 5.1706 5.1706
angles: 135.90 135.90 64.13
Last column: nearest neighbours and their distance in Å.
Sites, in units of the cell vectors:
1 Re 0.0000 0.0000 0.0000  8 W 2.75-2.93, 4 Br 2.93
2 W 0.2500 0.7500 0.5000  4 Br 2.75, 4 W 2.93, 4 Re 2.93
3 W 0.5000 0.5000 0.0000  4 Re 2.75, 4 Br 2.93, 4 W 2.93
4 Br 0.7500 0.2500 0.5000  8 W 2.75-2.93, 4 Re 2.93

=====

# 11
A plane-wave DFT calculation with PBE was carried out for ReW2Br after structural relaxation.

excess energy over the best structure of this formula in the dataset = 0.767 eV per atom
calculated volume = 66 Å³/f.u.
size of the total moment = 0.00 μB per atom
formation energy (no corrections) = 1.3873 eV/atom
space-group type = I4/mmm (139)
crystal system = tetragonal

abc: 5.1819 5.1819 5.1819
angles: 136.19 136.19 63.69
Last column: nearest neighbours and their distance in Å.
Sites, in units of the cell vectors:
1 Re 0.0000 0.0000 0.0000  4 Br 2.73, 8 W 2.93
2 W 0.2500 0.7500 0.5000  4 W 2.73, 4 Br 2.93, 4 Re 2.93
3 W 0.7500 0.2500 0.5000  4 W 2.73, 4 Br 2.93, 4 Re 2.93
4 Br 0.5000 0.5000 0.0000  4 Re 2.73, 8 W 2.93

=====

# 12
A plane-wave DFT calculation with PBE was carried out for ReWBr2 after structural relaxation.

excess energy over the best structure of this formula in the dataset = 1.243 eV per atom
calculated volume = 74 Å³/f.u.
size of the total moment = 0.00 μB per atom
formation energy (no corrections) = 1.4108 eV/atom
space-group type = P2/m (10)
crystal system = monoclinic

abc: 3.4631 4.5895 4.6477
angles: 90.00 90.23 90.00
Last column: nearest neighbours and their distance in Å.
Sites, in units of the cell vectors:
1 Re 0.0000 0.0000 0.0000  4 Br 2.72, 4 W 2.89-2.90
2 W 0.5000 0.0000 0.5000  4 Br 2.71, 4 Re 2.89-2.90
3 Br 0.2545 0.5000 0.7504  2 W 2.71, 2 Re 2.72, 4 Br 2.87-2.92
4 Br 0.7455 0.5000 0.2496  2 W 2.71, 2 Re 2.72, 4 Br 2.87-2.92

=====

Calculated values (Ry per atom) of calculated total energy for the records, taken in order: -0.421; -0.515; -0.573; -0.601; -0.624; -0.683; -0.481; -0.720; -0.414; -0.631; -0.634; -0.425.
Calculated values (g cm⁻³) of calculated density for the records, taken in order: 11.97; 9.31; 12.09; 14.66; 15.82; 15.73; 8.95; 15.80; 11.88; 15.94; 15.99; 11.91.